1.
A plane-wave DFT calculation with PBE was carried out for an optimized crystal structure of TlNiPt3.

```
data_TlNiPt3
_chemical_formula_sum 'Tl1 Ni1 Pt3'
_symmetry_space_group_name_H-M 'P m -3 m'
_symmetry_Int_Tables_number 221
_symmetry_space_group_name_Hall '-P 4 2 3'
_cell_length_a 4.6380
_cell_length_b 4.6380
_cell_length_c 4.6380
_cell_angle_alpha 90.00
_cell_angle_beta 90.00
_cell_angle_gamma 90.00
loop_
_atom_site_label
_atom_site_type_symbol
_atom_site_fract_x
_atom_site_fract_y
_atom_site_fract_z
Tl1 Tl 0.0000 0.0000 0.0000
Ni1 Ni 0.5000 0.5000 0.5000
Pt1 Pt 0.0000 0.5000 0.5000
```

Results
DFT total energy   -4.54 eV/atom
Calculated density   14.120 g/cm3
Formation energy   0.712 eV/atom
Distance to the lowest polymorph of the same formula   0.000 eV/atom

2.
A plane-wave DFT calculation with PBE was carried out for an optimized crystal structure of BaYPb2.

```
data_BaYPb2
_chemical_formula_sum 'Ba1 Y1 Pb2'
_symmetry_space_group_name_H-M 'P 4 m m'
_symmetry_Int_Tables_number 99
_symmetry_space_group_name_Hall 'P 4 -2'
_cell_length_a 4.5280
_cell_length_b 4.5280
_cell_length_c 7.3104
_cell_angle_alpha 90.00
_cell_angle_beta 90.00
_cell_angle_gamma 90.00
loop_
_atom_site_label
_atom_site_type_symbol
_atom_site_fract_x
_atom_site_fract_y
_atom_site_fract_z
Ba1 Ba 0.0000 0.0000 0.0000
Y1 Y 0.5000 0.5000 0.6283
Pb1 Pb 0.0000 0.0000 0.5290
Pb2 Pb 0.5000 0.5000 0.2195
```

Results
DFT total energy   -4.10 eV/atom
Calculated density   7.097 g/cm3
Formation energy   -0.150 eV/atom

3.
A plane-wave DFT calculation with PBE was carried out for an optimized crystal structure of Nb2CoHRh.

```
data_Nb2CoHRh
_chemical_formula_sum 'Nb2 Co1 H1 Rh1'
_symmetry_space_group_name_H-M 'P 4/m m m'
_symmetry_Int_Tables_number 123
_symmetry_space_group_name_Hall '-P 4 2'
_cell_length_a 4.0362
_cell_length_b 4.0362
_cell_length_c 3.8841
_cell_angle_alpha 90.00
_cell_angle_beta 90.00
_cell_angle_gamma 90.00
loop_
_atom_site_label
_atom_site_type_symbol
_atom_site_fract_x
_atom_site_fract_y
_atom_site_fract_z
Nb1 Nb 0.0000 0.5000 0.0000
Co1 Co 0.0000 0.0000 0.5000
H1 H 0.5000 0.5000 0.0000
Rh1 Rh 0.5000 0.5000 0.5000
```

Results
DFT total energy   -7.76 eV/atom
Calculated density   9.150 g/cm3
Distance to the lowest polymorph of the same formula   0.064 eV/atom

4.
A plane-wave DFT calculation with PBE was carried out for an optimized crystal structure of MgRe2Tc2.

```
data_MgRe2Tc2
_chemical_formula_sum 'Mg2 Re4 Tc4'
_symmetry_space_group_name_H-M 'P 4/m b m'
_symmetry_Int_Tables_number 127
_symmetry_space_group_name_Hall '-P 4 2ab'
_cell_length_a 7.6510
_cell_length_b 7.6510
_cell_length_c 2.7943
_cell_angle_alpha 90.00
_cell_angle_beta 90.00
_cell_angle_gamma 90.00
loop_
_atom_site_label
_atom_site_type_symbol
_atom_site_fract_x
_atom_site_fract_y
_atom_site_fract_z
Mg1 Mg 0.0000 0.0000 0.0000
Re1 Re 0.1629 0.3371 0.5000
Tc1 Tc 0.1281 0.6281 0.0000
```

Results
DFT total energy   -9.24 eV/atom
Calculated density   12.034 g/cm3
Formation energy   0.201 eV/atom

5.
A plane-wave DFT calculation with PBE was carried out for an optimized crystal structure of HfSi3Ru.

```
data_HfSi3Ru
_chemical_formula_sum 'Hf1 Si3 Ru1'
_symmetry_space_group_name_H-M 'P m -3 m'
_symmetry_Int_Tables_number 221
_symmetry_space_group_name_Hall '-P 4 2 3'
_cell_length_a 4.5679
_cell_length_b 4.5679
_cell_length_c 4.5679
_cell_angle_alpha 90.00
_cell_angle_beta 90.00
_cell_angle_gamma 90.00
loop_
_atom_site_label
_atom_site_type_symbol
_atom_site_fract_x
_atom_site_fract_y
_atom_site_fract_z
Hf1 Hf 0.0000 0.0000 0.0000
Si1 Si 0.0000 0.5000 0.5000
Ru1 Ru 0.5000 0.5000 0.5000
```

Results
DFT total energy   -6.57 eV/atom
Calculated density   6.338 g/cm3
Formation energy without anion corrections   0.5272 eV/atom
Distance to the lowest polymorph of the same formula   0.000 eV/atom

6.
A plane-wave DFT calculation with PBE was carried out for an optimized crystal structure of ReTcHg2.

```
data_ReTcHg2
_chemical_formula_sum 'Re2 Tc2 Hg4'
_symmetry_space_group_name_H-M 'C 1 m 1'
_symmetry_Int_Tables_number 8
_symmetry_space_group_name_Hall 'C -2y'
_cell_length_a 9.4602
_cell_length_b 2.9015
_cell_length_c 5.1968
_cell_angle_alpha 90.00
_cell_angle_beta 98.80
_cell_angle_gamma 90.00
loop_
_atom_site_label
_atom_site_type_symbol
_atom_site_fract_x
_atom_site_fract_y
_atom_site_fract_z
Re1 Re 0.0000 0.0000 0.0000
Tc1 Tc 0.2316 0.5000 0.1776
Hg1 Hg 0.2455 0.0000 0.7103
Hg2 Hg 0.4856 0.0000 0.4686
```

Results
DFT total energy   -5.11 eV/atom
Calculated density   16.148 g/cm3
Formation energy   0.740 eV/atom
Distance to the lowest polymorph of the same formula   0.422 eV/atom

Number 1: total moment 0.46 μB/cell. Number 2: total moment 0.00 μB/cell. Number 3: total moment 0.00 μB/cell. Number 4: total moment 0.00 μB/cell. Number 5: total moment 0.00 μB/cell. Number 6: total moment 0.00 μB/cell.